No. 1
Material: TaNi3
Method: DFT, PBE
State: optimized geometry

Summary:
- Crystal system: monoclinic
- DFT formation energy: -8.37 kcal/mol of atoms

Cell: 4.531 5.112 25.431 Å, 90.00 90.76 90.00°
Sites, in units of the cell vectors:
Ni1 0.509 0.250 0.625
Ni2 0.161 0.750 0.542
Ni3 0.172 0.250 0.125
Ni4 0.008 0.002 0.376
Ni5 0.342 0.002 0.042
Ni6 0.506 0.250 0.791
Ni7 0.842 0.250 0.292
Ni8 0.494 0.750 0.209
Ni9 0.992 0.502 0.624
Ni10 0.334 0.499 0.459
Ni11 0.675 0.498 0.709
Ni12 0.666 0.501 0.541
Ni13 0.342 0.498 0.042
Ni14 0.666 0.999 0.541
Ni15 0.001 0.001 0.792
Ni16 0.992 0.998 0.624
Ni17 0.675 0.002 0.709
Ni18 0.332 0.999 0.874
Ni19 0.828 0.750 0.875
Ni20 0.658 0.998 0.958
Ni21 0.332 0.501 0.874
Ni22 0.001 0.499 0.792
Ni23 0.824 0.750 0.041
Ni24 0.658 0.502 0.958
Ni25 0.999 0.501 0.208
Ni26 0.491 0.750 0.375
Ni27 0.325 0.998 0.291
Ni28 0.176 0.250 0.959
Ni29 0.839 0.250 0.458
Ni30 0.008 0.498 0.376
Ni31 0.334 0.001 0.459
Ni32 0.325 0.502 0.291
Ni33 0.668 0.001 0.126
Ni34 0.158 0.750 0.708
Ni35 0.668 0.499 0.126
Ni36 0.999 0.999 0.208
Ta1 0.845 0.250 0.041
Ta2 0.488 0.750 0.626
Ta3 0.498 0.750 0.791
Ta4 0.512 0.250 0.374
Ta5 0.164 0.750 0.124
Ta6 0.169 0.250 0.542
Ta7 0.179 0.250 0.707
Ta8 0.831 0.750 0.458
Ta9 0.155 0.750 0.959
Ta10 0.836 0.250 0.876
Ta11 0.502 0.250 0.209
Ta12 0.821 0.750 0.293

---

No. 2
Material: Ta4Ni25
Method: DFT, PBE
State: optimized geometry

Summary:
- Crystal system: cubic
- DFT formation energy: -3.63 kcal/mol of atoms

Cell: 7.599 7.599 7.599 Å, 109.47 109.47 109.47°
Sites, in units of the cell vectors:
Ni1 0.375 0.189 0.000
Ni2 0.811 0.811 0.186
Ni3 0.189 0.375 0.000
Ni4 0.273 0.594 0.594
Ni5 0.000 0.680 0.406
Ni6 0.000 0.000 0.000
Ni7 0.406 0.680 0.000
Ni8 0.320 0.727 0.320
Ni9 0.625 0.625 0.814
Ni10 0.811 0.186 0.811
Ni11 0.000 0.375 0.189
Ni12 0.406 0.000 0.680
Ni13 0.594 0.594 0.273
Ni14 0.189 0.000 0.375
Ni15 0.000 0.189 0.375
Ni16 0.680 0.406 0.000
Ni17 0.814 0.625 0.625
Ni18 0.727 0.320 0.320
Ni19 0.594 0.273 0.594
Ni20 0.186 0.811 0.811
Ni21 0.625 0.814 0.625
Ni22 0.000 0.406 0.680
Ni23 0.680 0.000 0.406
Ni24 0.375 0.000 0.189
Ni25 0.320 0.320 0.727
Ta1 0.000 0.638 0.000
Ta2 0.000 0.000 0.638
Ta3 0.362 0.362 0.362
Ta4 0.638 0.000 0.000

---

No. 3
Material: Ta7Ni8
Method: DFT, PBE
State: optimized geometry

Summary:
- Crystal system: tetragonal
- DFT formation energy: -1.75 kcal/mol of atoms
- Energy above the lowest structure with this stoichiometry: 0 meV/atom

Cell: 9.458 9.458 4.847 Å, 90.00 90.00 90.00°
Sites, in units of the cell vectors:
Ni1 0.036 0.628 0.500
Ni2 0.964 0.372 0.500
Ni3 0.821 0.821 0.254
Ni4 0.872 0.536 0.000
Ni5 0.372 0.964 0.500
Ni6 0.679 0.321 0.754
Ni7 0.464 0.128 0.000
Ni8 0.679 0.321 0.246
Ni9 0.536 0.872 0.000
Ni10 0.179 0.179 0.746
Ni11 0.179 0.179 0.254
Ni12 0.321 0.679 0.754
Ni13 0.628 0.036 0.500
Ni14 0.128 0.464 0.000
Ni15 0.821 0.821 0.746
Ni16 0.321 0.679 0.246
Ta1 0.436 0.218 0.500
Ta2 0.718 0.064 0.000
Ta3 0.936 0.282 0.000
Ta4 0.782 0.564 0.500
Ta5 0.111 0.889 0.500
Ta6 0.389 0.389 0.000
Ta7 0.000 0.000 0.000
Ta8 0.564 0.782 0.500
Ta9 0.282 0.936 0.000
Ta10 0.889 0.111 0.500
Ta11 0.611 0.611 0.000
Ta12 0.218 0.436 0.500
Ta13 0.500 0.500 0.500
Ta14 0.064 0.718 0.000

---

No. 4
Material: Ta2Ni11
Method: DFT, PBE
State: optimized geometry

Summary:
- Crystal system: trigonal
- DFT formation energy: -1.65 kcal/mol of atoms
- Energy above the lowest structure with this stoichiometry: 0 meV/atom

Cell: 8.609 8.609 8.609 Å, 31.60 31.60 31.60°
Sites, in units of the cell vectors:
Ni1 0.416 0.911 0.911
Ni2 0.000 0.000 0.000
Ni3 0.833 0.833 0.833
Ni4 0.454 0.454 0.454
Ni5 0.546 0.546 0.546
Ni6 0.911 0.911 0.416
Ni7 0.089 0.089 0.584
Ni8 0.167 0.167 0.167
Ni9 0.911 0.416 0.911
Ni10 0.584 0.089 0.089
Ni11 0.089 0.584 0.089
Ta1 0.357 0.357 0.357
Ta2 0.643 0.643 0.643

---

No. 5
Material: Ta5Ni8
Method: DFT, PBE
State: optimized geometry

Summary:
- Crystal system: trigonal
- DFT formation energy: -3.75 kcal/mol of atoms
- Energy above the lowest structure with this stoichiometry: 81 meV/atom

Cell: 9.111 9.111 9.111 Å, 30.69 30.69 30.69°
Sites, in units of the cell vectors:
Ta1 0.000 0.000 0.000
Ta2 0.836 0.836 0.836
Ta3 0.164 0.164 0.164
Ta4 0.358 0.358 0.358
Ta5 0.642 0.642 0.642
Ni1 0.909 0.420 0.909
Ni2 0.091 0.091 0.580
Ni3 0.546 0.546 0.546
Ni4 0.580 0.091 0.091
Ni5 0.909 0.909 0.420
Ni6 0.091 0.580 0.091
Ni7 0.420 0.909 0.909
Ni8 0.454 0.454 0.454

---

No. 6
Material: Ta7Ni8
Method: DFT, PBE
State: optimized geometry

Summary:
- Crystal system: tetragonal
- DFT formation energy: -0.99 kcal/mol of atoms
- Energy above the lowest structure with this stoichiometry: 33 meV/atom

Cell: 9.208 9.208 5.142 Å, 90.00 90.00 90.00°
Sites, in units of the cell vectors:
Ta1 0.191 0.191 0.748
Ta2 0.607 0.607 0.000
Ta3 0.309 0.691 0.248
Ta4 0.393 0.393 0.000
Ta5 0.691 0.309 0.752
Ta6 0.893 0.107 0.500
Ta7 0.000 0.000 0.000
Ta8 0.191 0.191 0.252
Ta9 0.809 0.809 0.748
Ta10 0.691 0.309 0.248
Ta11 0.809 0.809 0.252
Ta12 0.309 0.691 0.752
Ta13 0.500 0.500 0.500
Ta14 0.107 0.893 0.500
Ni1 0.967 0.366 0.500
Ni2 0.267 0.938 0.000
Ni3 0.866 0.533 0.000
Ni4 0.233 0.438 0.500
Ni5 0.134 0.467 0.000
Ni6 0.467 0.134 0.000
Ni7 0.438 0.233 0.500
Ni8 0.033 0.634 0.500
Ni9 0.733 0.062 0.000
Ni10 0.366 0.967 0.500
Ni11 0.767 0.562 0.500
Ni12 0.938 0.267 0.000
Ni13 0.533 0.866 0.000
Ni14 0.062 0.733 0.000
Ni15 0.562 0.767 0.500
Ni16 0.634 0.033 0.500

---

No. 7
Material: Ta3Ni
Method: DFT, PBE
State: optimized geometry

Summary:
- Crystal system: hexagonal
- DFT formation energy: 0.63 kcal/mol of atoms

Cell: 5.248 5.248 16.860 Å, 90.00 90.00 120.00°
Sites, in units of the cell vectors:
Ta1 0.000 0.000 0.091
Ta2 0.835 0.670 0.750
Ta3 0.835 0.165 0.750
Ta4 0.333 0.667 0.650
Ta5 0.000 0.000 0.909
Ta6 0.333 0.667 0.113
Ta7 0.330 0.165 0.750
Ta8 0.333 0.667 0.387
Ta9 0.667 0.333 0.150
Ta10 0.667 0.333 0.350
Ta11 0.165 0.330 0.250
Ta12 0.667 0.333 0.613
Ta13 0.000 0.000 0.409
Ta14 0.333 0.667 0.850
Ta15 0.667 0.333 0.887
Ta16 0.670 0.835 0.250
Ta17 0.000 0.000 0.591
Ta18 0.165 0.835 0.250
Ni1 0.000 0.500 0.500
Ni2 0.000 0.500 0.000
Ni3 0.500 0.000 0.000
Ni4 0.500 0.500 0.000
Ni5 0.500 0.000 0.500
Ni6 0.500 0.500 0.500

---

No. 8
Material: Ta5Ni
Method: DFT, PBE
State: optimized geometry

Summary:
- Crystal system: hexagonal
- DFT formation energy: 10.79 kcal/mol of atoms
- Energy above the lowest structure with this stoichiometry: 435 meV/atom

Cell: 5.400 5.400 17.474 Å, 90.00 90.00 120.00°
Sites, in units of the cell vectors:
Ta1 0.327 0.164 0.750
Ta2 0.000 0.500 0.000
Ta3 0.500 0.000 0.000
Ta4 0.667 0.333 0.624
Ta5 0.000 0.500 0.500
Ta6 0.500 0.500 0.000
Ta7 0.667 0.333 0.876
Ta8 0.333 0.667 0.124
Ta9 0.673 0.836 0.250
Ta10 0.667 0.333 0.341
Ta11 0.164 0.327 0.250
Ta12 0.333 0.667 0.659
Ta13 0.333 0.667 0.376
Ta14 0.500 0.500 0.500
Ta15 0.836 0.673 0.750
Ta16 0.333 0.667 0.841
Ta17 0.500 0.000 0.500
Ta18 0.164 0.836 0.250
Ta19 0.667 0.333 0.159
Ta20 0.836 0.164 0.750
Ni1 0.000 0.000 0.391
Ni2 0.000 0.000 0.109
Ni3 0.000 0.000 0.891
Ni4 0.000 0.000 0.609

---

No. 9
Material: TaNi4
Method: DFT, PBE
State: optimized geometry

Summary:
- Crystal system: tetragonal
- DFT formation energy: -1.40 kcal/mol of atoms

Cell: 8.865 8.865 4.717 Å, 90.00 90.00 90.00°
Sites, in units of the cell vectors:
Ni1 0.269 0.933 0.000
Ni2 0.126 0.464 0.000
Ni3 0.067 0.731 0.000
Ni4 0.181 0.181 0.256
Ni5 0.819 0.819 0.744
Ni6 0.567 0.769 0.500
Ni7 0.626 0.036 0.500
Ni8 0.464 0.126 0.000
Ni9 0.374 0.964 0.500
Ni10 0.319 0.681 0.244
Ni11 0.681 0.319 0.244
Ni12 0.819 0.819 0.256
Ni13 0.964 0.374 0.500
Ni14 0.536 0.874 0.000
Ni15 0.433 0.231 0.500
Ni16 0.036 0.626 0.500
Ni17 0.769 0.567 0.500
Ni18 0.874 0.536 0.000
Ni19 0.933 0.269 0.000
Ni20 0.319 0.681 0.756
Ni21 0.231 0.433 0.500
Ni22 0.731 0.067 0.000
Ni23 0.681 0.319 0.756
Ni24 0.181 0.181 0.744
Ta1 0.000 0.000 0.000
Ta2 0.123 0.877 0.500
Ta3 0.877 0.123 0.500
Ta4 0.500 0.500 0.500
Ta5 0.623 0.623 0.000
Ta6 0.377 0.377 0.000

---

No. 10
Material: Ta4Ni9
Method: DFT, PBE
State: optimized geometry

Summary:
- Crystal system: trigonal
- DFT formation energy: -5.39 kcal/mol of atoms
- Energy above the lowest structure with this stoichiometry: 0 meV/atom

Cell: 8.971 8.971 8.971 Å, 30.72 30.72 30.72°
Sites, in units of the cell vectors:
Ni1 0.909 0.909 0.414
Ni2 0.586 0.091 0.091
Ni3 0.091 0.091 0.586
Ni4 0.000 0.000 0.000
Ni5 0.454 0.454 0.454
Ni6 0.091 0.586 0.091
Ni7 0.546 0.546 0.546
Ni8 0.909 0.414 0.909
Ni9 0.414 0.909 0.909
Ta1 0.835 0.835 0.835
Ta2 0.165 0.165 0.165
Ta3 0.641 0.641 0.641
Ta4 0.359 0.359 0.359

---

No. 11
Material: Ta5Ni
Method: DFT, PBE
State: optimized geometry

Summary:
- Crystal system: hexagonal
- DFT formation energy: 0.85 kcal/mol of atoms
- Energy above the lowest structure with this stoichiometry: 4 meV/atom

Cell: 5.370 5.370 8.387 Å, 90.00 90.00 120.00°
Sites, in units of the cell vectors:
Ta1 0.339 0.170 0.250
Ta2 0.333 0.667 0.441
Ta3 0.170 0.339 0.750
Ta4 0.667 0.333 0.941
Ta5 0.667 0.333 0.559
Ta6 0.170 0.830 0.750
Ta7 0.661 0.830 0.750
Ta8 0.830 0.661 0.250
Ta9 0.333 0.667 0.059
Ta10 0.830 0.170 0.250
Ni1 0.000 0.000 0.000
Ni2 0.000 0.000 0.500

---

No. 12
Material: Ta5Ni7
Method: DFT, PBE
State: optimized geometry

Summary:
- Crystal system: hexagonal
- DFT formation energy: 11.47 kcal/mol of atoms
- Energy above the lowest structure with this stoichiometry: 352 meV/atom

Cell: 5.014 5.014 17.090 Å, 90.00 90.00 120.00°
Sites, in units of the cell vectors:
Ni1 0.000 0.000 0.890
Ni2 0.500 0.500 0.500
Ni3 0.500 0.000 0.500
Ni4 0.000 0.000 0.390
Ni5 0.000 0.000 0.610
Ni6 0.667 0.333 0.352
Ni7 0.000 0.000 0.110
Ni8 0.667 0.333 0.148
Ni9 0.333 0.667 0.852
Ni10 0.000 0.500 0.500
Ni11 0.500 0.500 0.000
Ni12 0.000 0.500 0.000
Ni13 0.333 0.667 0.648
Ni14 0.500 0.000 0.000
Ta1 0.667 0.333 0.889
Ta2 0.167 0.833 0.250
Ta3 0.167 0.334 0.250
Ta4 0.333 0.667 0.389
Ta5 0.833 0.666 0.750
Ta6 0.333 0.667 0.111
Ta7 0.667 0.333 0.611
Ta8 0.666 0.833 0.250
Ta9 0.833 0.167 0.750
Ta10 0.334 0.167 0.750

---

No. 13
Material: TaNi5
Method: DFT, PBE
State: optimized geometry

Summary:
- Crystal system: hexagonal
- DFT formation energy: -3.94 kcal/mol of atoms

Cell: 4.636 4.636 15.338 Å, 90.00 90.00 120.00°
Last column: magnetic moment on the atom in μB.
Sites, in units of the cell vectors:
Ta1 0.667 0.333 0.151  0.03
Ta2 0.333 0.667 0.849  0.03
Ta3 0.333 0.667 0.651  0.02
Ta4 0.667 0.333 0.349  0.02
Ni1 0.000 0.000 0.594  -0.12
Ni2 0.163 0.327 0.250  -0.12
Ni3 0.667 0.333 0.875  -0.18
Ni4 0.837 0.673 0.750  -0.12
Ni5 0.837 0.163 0.750  -0.12
Ni6 0.000 0.000 0.094  -0.11
Ni7 0.333 0.667 0.375  -0.17
Ni8 0.500 0.000 0.000  -0.20
Ni9 0.000 0.000 0.406  -0.12
Ni10 0.500 0.000 0.500  -0.19
Ni11 0.327 0.163 0.750  -0.10
Ni12 0.163 0.837 0.250  -0.12
Ni13 0.673 0.837 0.250  -0.10
Ni14 0.000 0.500 0.000  -0.14
Ni15 0.000 0.000 0.906  -0.11
Ni16 0.500 0.500 0.000  -0.21
Ni17 0.500 0.500 0.500  -0.21
Ni18 0.667 0.333 0.625  -0.17
Ni19 0.000 0.500 0.500  -0.14
Ni20 0.333 0.667 0.125  -0.18

---

No. 14
Material: Ta5Ni8
Method: DFT, PBE
State: optimized geometry

Summary:
- Crystal system: trigonal
- DFT formation energy: -5.61 kcal/mol of atoms
- Energy above the lowest structure with this stoichiometry: 0 meV/atom

Cell: 9.189 9.189 9.189 Å, 30.29 30.29 30.29°
Sites, in units of the cell vectors:
Ni1 0.095 0.095 0.583
Ni2 0.654 0.654 0.654
Ni3 0.905 0.905 0.417
Ni4 0.905 0.417 0.905
Ni5 0.095 0.583 0.095
Ni6 0.583 0.095 0.095
Ni7 0.417 0.905 0.905
Ni8 0.346 0.346 0.346
Ta1 0.164 0.164 0.164
Ta2 0.000 0.000 0.000
Ta3 0.554 0.554 0.554
Ta4 0.446 0.446 0.446
Ta5 0.836 0.836 0.836